A plane-wave DFT calculation with PBE was carried out for a relaxed structure of Nd2MgIrO6.

```
data_Nd2MgIrO6
_chemical_formula_sum 'Nd4 Mg2 Ir2 O12'
_symmetry_space_group_name_H-M 'P 1 21/c 1'
_symmetry_Int_Tables_number 14
_symmetry_space_group_name_Hall '-P 2ybc'
_cell_length_a 5.489
_cell_length_b 5.770
_cell_length_c 9.568
_cell_angle_alpha 90.00
_cell_angle_beta 124.71
_cell_angle_gamma 90.00
loop_
_atom_site_label
_atom_site_fract_x
_atom_site_fract_y
_atom_site_fract_z
Nd1 0.233 0.063 0.251
Mg1 0.500 0.000 0.000
Ir1 0.000 0.000 0.500
O1 0.142 0.205 0.948
O2 0.249 0.701 0.949
O3 0.346 0.030 0.748
```

## Properties
V: 12.46 Å³ per atom
total magnetic moment: 1.008 μB/f.u.
uncorrected formation energy: -2.46 eV per atom

---

A plane-wave DFT calculation with PBE was carried out for a relaxed structure of K2AgMo.

```
data_K2AgMo
_chemical_formula_sum 'K2 Ag1 Mo1'
_symmetry_space_group_name_H-M 'P 4/m m m'
_symmetry_Int_Tables_number 123
_symmetry_space_group_name_Hall '-P 4 2'
_cell_length_a 3.569
_cell_length_b 3.569
_cell_length_c 10.289
_cell_angle_alpha 90.00
_cell_angle_beta 90.00
_cell_angle_gamma 90.00
loop_
_atom_site_label
_atom_site_fract_x
_atom_site_fract_y
_atom_site_fract_z
K1 0.000 0.000 0.229
Ag1 0.500 0.500 0.000
Mo1 0.500 0.500 0.500
```

## Properties
V: 32.77 Å³ per atom
ΔE to the lowest computed polymorph: 0.291 eV per atom
ΔE_f: 1.187 eV per atom
total magnetic moment: 4.587 μB/f.u.

---

A plane-wave DFT calculation with PBE was carried out for a relaxed structure of ThCu6Pt4.

```
data_ThCu6Pt4
_chemical_formula_sum 'Th2 Cu12 Pt8'
_symmetry_space_group_name_H-M 'I -4 2 m'
_symmetry_Int_Tables_number 121
_symmetry_space_group_name_Hall 'I -4 2'
_cell_length_a 6.171
_cell_length_b 6.171
_cell_length_c 9.530
_cell_angle_alpha 90.00
_cell_angle_beta 90.00
_cell_angle_gamma 90.00
loop_
_atom_site_label
_atom_site_fract_x
_atom_site_fract_y
_atom_site_fract_z
Th1 0.000 0.000 0.000
Cu1 0.000 0.500 0.000
Cu2 0.150 0.150 0.412
Pt1 0.235 0.235 0.677
```

## Properties
V: 16.50 Å³ per atom
ΔE_f: -0.149 eV per atom
total magnetic moment: 0.000 μB/f.u.

---

A plane-wave DFT calculation with PBE was carried out for a relaxed structure of SrYPaN3.

```
data_SrYPaN3
_chemical_formula_sum 'Sr2 Y2 Pa2 N6'
_symmetry_space_group_name_H-M 'P 1 21/m 1'
_symmetry_Int_Tables_number 11
_symmetry_space_group_name_Hall '-P 2yb'
_cell_length_a 6.148
_cell_length_b 3.601
_cell_length_c 9.302
_cell_angle_alpha 90.00
_cell_angle_beta 102.49
_cell_angle_gamma 90.00
loop_
_atom_site_label
_atom_site_fract_x
_atom_site_fract_y
_atom_site_fract_z
Sr1 0.153 0.250 0.188
Y1 0.360 0.250 0.862
Pa1 0.264 0.750 0.542
N1 0.051 0.250 0.635
N2 0.274 0.750 0.991
N3 0.474 0.750 0.369
```

## Properties
V: 16.76 Å³ per atom
total magnetic moment: 0.924 μB/f.u.
uncorrected formation energy: -1.34 eV per atom

---

A plane-wave DFT calculation with PBE was carried out for a relaxed structure of VFeRh4.

```
data_VFeRh4
_chemical_formula_sum 'V1 Fe1 Rh4'
_symmetry_space_group_name_H-M 'P 1'
_symmetry_Int_Tables_number 1
_symmetry_space_group_name_Hall 'P 1'
_cell_length_a 2.731
_cell_length_b 4.670
_cell_length_c 6.981
_cell_angle_alpha 76.40
_cell_angle_beta 78.79
_cell_angle_gamma 73.05
loop_
_atom_site_label
_atom_site_fract_x
_atom_site_fract_y
_atom_site_fract_z
V1 0.000 0.000 0.000
Fe1 0.338 0.498 0.822
Rh1 0.001 0.498 0.498
Rh2 0.341 0.996 0.321
Rh3 0.661 0.996 0.684
Rh4 0.675 0.503 0.142
```

## Properties
V: 13.67 Å³ per atom
ΔE to the lowest computed polymorph: 0.000 eV per atom
ΔE_f: -0.164 eV per atom
total magnetic moment: 2.281 μB/f.u.

---

A plane-wave DFT calculation with PBE was carried out for a relaxed structure of La3DyTm3.

```
data_La3DyTm3
_chemical_formula_sum 'La18 Dy6 Tm18'
_symmetry_space_group_name_H-M 'R -3'
_symmetry_Int_Tables_number 148
_symmetry_space_group_name_Hall '-R 3'
_cell_length_a 9.4120
_cell_length_b 9.4120
_cell_length_c 18.6797
_cell_angle_alpha 90.00
_cell_angle_beta 90.00
_cell_angle_gamma 120.00
loop_
_atom_site_label
_atom_site_fract_x
_atom_site_fract_y
_atom_site_fract_z
La1 0.0514 0.2443 0.0778
Dy1 0.0000 0.0000 0.4083
Tm1 0.0511 0.2349 0.2611
```

## Properties
V: 34.12 Å³ per atom
ΔE to the lowest computed polymorph: 0.000 eV per atom
ΔE_f: 0.139 eV per atom
total magnetic moment: 0.000 μB/f.u.

---

A plane-wave DFT calculation with PBE was carried out for a relaxed structure of HoAgAu3.

```
data_HoAgAu3
_chemical_formula_sum 'Ho2 Ag2 Au6'
_symmetry_space_group_name_H-M 'P 1 21/m 1'
_symmetry_Int_Tables_number 11
_symmetry_space_group_name_Hall '-P 2yb'
_cell_length_a 4.798
_cell_length_b 6.763
_cell_length_c 6.884
_cell_angle_alpha 90.00
_cell_angle_beta 110.10
_cell_angle_gamma 90.00
loop_
_atom_site_label
_atom_site_fract_x
_atom_site_fract_y
_atom_site_fract_z
Ho1 0.128 0.250 0.258
Ag1 0.136 0.750 0.276
Au1 0.321 0.004 0.640
Au2 0.497 0.250 0.993
```

## Properties
V: 20.98 Å³ per atom
ΔE_f: -0.422 eV per atom
total magnetic moment: 0.000 μB/f.u.

---

A plane-wave DFT calculation with PBE was carried out for a relaxed structure of Y6ZnRu2.

```
data_Y6ZnRu2
_chemical_formula_sum 'Y24 Zn4 Ru8'
_symmetry_space_group_name_H-M 'I m m m'
_symmetry_Int_Tables_number 71
_symmetry_space_group_name_Hall '-I 2 2'
_cell_length_a 9.405
_cell_length_b 9.427
_cell_length_c 10.377
_cell_angle_alpha 90.00
_cell_angle_beta 90.00
_cell_angle_gamma 90.00
loop_
_atom_site_label
_atom_site_fract_x
_atom_site_fract_y
_atom_site_fract_z
Y1 0.000 0.195 0.244
Y2 0.186 0.500 0.171
Y3 0.221 0.320 0.500
Zn1 0.000 0.000 0.000
Zn2 0.000 0.000 0.500
Ru1 0.000 0.319 0.000
Ru2 0.000 0.500 0.375
```

## Properties
V: 25.56 Å³ per atom
ΔE_f: -0.302 eV per atom
total magnetic moment: 0.000 μB/f.u.

---

Copy entry 5 word for word.
A plane-wave DFT calculation with PBE was carried out for a relaxed structure of VFeRh4.

```
data_VFeRh4
_chemical_formula_sum 'V1 Fe1 Rh4'
_symmetry_space_group_name_H-M 'P 1'
_symmetry_Int_Tables_number 1
_symmetry_space_group_name_Hall 'P 1'
_cell_length_a 2.731
_cell_length_b 4.670
_cell_length_c 6.981
_cell_angle_alpha 76.40
_cell_angle_beta 78.79
_cell_angle_gamma 73.05
loop_
_atom_site_label
_atom_site_fract_x
_atom_site_fract_y
_atom_site_fract_z
V1 0.000 0.000 0.000
Fe1 0.338 0.498 0.822
Rh1 0.001 0.498 0.498
Rh2 0.341 0.996 0.321
Rh3 0.661 0.996 0.684
Rh4 0.675 0.503 0.142
```

## Properties
V: 13.67 Å³ per atom
ΔE to the lowest computed polymorph: 0.000 eV per atom
ΔE_f: -0.164 eV per atom
total magnetic moment: 2.281 μB/f.u.